(1)
Tb2PaNi9: optimized geometry, PBE.

abc: 4.9314 4.9314 24.5740
angles: 90.00 90.00 120.00
Space group R-3m (No. 166, hexagonal axes)
One atom of each set of equivalent atoms:
Tb1 0.0000 0.0000 0.1392
Pa1 0.0000 0.0000 0.0000
Ni1 0.0000 0.0000 0.3333
Ni2 0.0000 0.0000 0.5000
Ni3 0.0006 0.5003 0.9182

Output
As for the electronic total energy: -227.360 eV per cell. As for the total moment: 0.00 μB per formula unit. The formation energy is -40 kJ/mol of atoms.

***

(2)
RbAg2Br8: optimized geometry, PBE.

abc: 7.859 7.859 14.046
angles: 90.00 90.00 90.00
Space group I422 (No. 97)
One atom of each set of equivalent atoms:
Rb1 0.000 0.000 0.000
Ag1 0.000 0.500 0.250
Br1 0.142 0.325 0.627

Output
The formation energy (no corrections) is -0.308 eV per atom. As for the electronic total energy: -46.886 eV per cell. As for the total moment: 0.77 μB per formula unit.